Computed, not measured: a relaxed structure of ZnHgSb2 at the PBE level of DFT.

```
ZnHgSb2
1.0
2.129 1.229 6.605
-2.129 1.229 6.605
0.000 -2.458 6.605
Zn Hg Sb
1 1 2
direct
0.000 0.000 0.000
0.167 0.167 0.167
0.404 0.404 0.404
0.596 0.596 0.596
```

Calculated values
calculated density: 8.161 Mg/m³
total DFT energy (no corrections): -2.294 eV/atom